# 1
Entry from the Alexandria database: an optimized crystal structure of PmSm3Y2Te6 (PBE-GGA).

Summary:
volume: 366.98 Å³/cell
VASP energy: -67.06 eV for the cell shown
energy relative to the elements, uncorrected: -1.364 eV per atom

Unit cell a=4.4004 b=8.8917 c=9.8809 alpha=102.84 beta=102.87 gamma=90.00
Fractional positions:
Te 0.6690 0.5799 0.3380
Te 0.3310 0.4201 0.6620
Te 0.3311 0.9108 0.6623
Te 0.0026 0.2527 0.0052
Te 0.9974 0.7473 0.9948
Te 0.6689 0.0892 0.3377
Sm 0.1631 0.8334 0.3262
Sm 0.5000 0.5000 0.0000
Sm 0.8369 0.1666 0.6738
Y 0.8349 0.6691 0.6698
Y 0.1651 0.3309 0.3302
Pm 0.5000 0.0000 0.0000

---

# 2
Entry from the Alexandria database: an optimized crystal structure of Pm2Sm3YTe6 (PBE-GGA).

Summary:
volume: 371.21 Å³/cell
VASP energy: -65.53 eV for the cell shown
energy relative to the elements, uncorrected: -1.380 eV per atom

Unit cell a=4.4191 b=8.9217 c=9.9154 alpha=102.74 beta=102.88 gamma=90.00
Fractional positions:
Te 0.6634 0.0803 0.3268
Te 0.3347 0.4160 0.6694
Te 0.9989 0.2446 0.9978
Te 0.3366 0.9197 0.6732
Te 0.0011 0.7554 0.0022
Te 0.6653 0.5840 0.3306
Pm 0.1685 0.3357 0.3371
Pm 0.8315 0.6643 0.6629
Sm 0.5000 0.5000 0.0000
Sm 0.1700 0.8334 0.3400
Sm 0.8300 0.1666 0.6600
Y 0.5000 0.0000 0.0000

---

Repeat the first record exactly.
Entry from the Alexandria database: an optimized crystal structure of PmSm3Y2Te6 (PBE-GGA).

Summary:
volume: 366.98 Å³/cell
VASP energy: -67.06 eV for the cell shown
energy relative to the elements, uncorrected: -1.364 eV per atom

Unit cell a=4.4004 b=8.8917 c=9.8809 alpha=102.84 beta=102.87 gamma=90.00
Fractional positions:
Te 0.6690 0.5799 0.3380
Te 0.3310 0.4201 0.6620
Te 0.3311 0.9108 0.6623
Te 0.0026 0.2527 0.0052
Te 0.9974 0.7473 0.9948
Te 0.6689 0.0892 0.3377
Sm 0.1631 0.8334 0.3262
Sm 0.5000 0.5000 0.0000
Sm 0.8369 0.1666 0.6738
Y 0.8349 0.6691 0.6698
Y 0.1651 0.3309 0.3302
Pm 0.5000 0.0000 0.0000

---

- Which of these has the highest volume?
  Pm2Sm3YTe6

---

- Among the records above, which one has the highest VASP energy?
  Pm2Sm3YTe6